Entry 1:
LaMg2Co | PBEsol | optimized geometry

The formation energy from the elements is 0.1358 eV/atom.

Cell: 3.9697 3.9697 5.2800 Å, 90.00 90.00 90.00°
Sites, in units of the cell vectors:
Mg1 0.5000 0.0000 0.0000
Mg2 0.0000 0.5000 0.0000
Co1 0.5000 0.5000 0.5000
La1 0.0000 0.0000 0.5000

=====

Entry 2:
ScCoOs2 | PBEsol | optimized geometry

The distance to the lowest polymorph of the same formula is 0.000 eV per atom. The formation energy from the elements is 0.0010 eV/atom.

Cell: 2.7165 4.2916 5.5201 Å, 112.88 104.24 90.00°
Sites, in units of the cell vectors:
Os1 0.7134 0.7134 0.4268
Os2 0.2866 0.2866 0.5732
Co1 0.0000 0.5000 0.0000
Sc1 0.5000 0.0000 0.0000

=====

Entry 3:
MgSiNi | PBEsol | optimized geometry

As for the uncorrected formation energy: -0.33 eV/atom.

Cell: 3.0517 3.9863 3.9863 Å, 120.00 90.00 90.00°
Sites, in units of the cell vectors:
Mg1 0.0000 0.0000 0.0000
Si1 0.5000 0.6667 0.3333
Ni1 0.5000 0.3333 0.6667

=====

Entry 4:
CaHg5 | PBEsol | optimized geometry

The distance to the lowest polymorph of the same formula is 0.000 eV per atom. The formation energy from the elements is -0.3112 eV/atom.

Cell: 4.4903 4.6956 7.0138 Å, 90.00 108.67 90.00°
Sites, in units of the cell vectors:
Hg1 0.6659 0.5000 0.3319
Hg2 0.1693 0.0000 0.3387
Hg3 0.8307 0.0000 0.6613
Hg4 0.3341 0.5000 0.6681
Hg5 0.0000 0.5000 0.0000
Ca1 0.5000 0.0000 0.0000

=====

Entry 5:
Cd2InAg | PBEsol | optimized geometry

The formation energy from the elements is 0.0088 eV/atom.

Cell: 3.0834 4.2701 6.1386 Å, 90.00 90.00 90.00°
Sites, in units of the cell vectors:
Ag1 0.5000 0.5000 0.7552
Cd1 0.0000 0.0000 0.9932
Cd2 0.5000 0.5000 0.2403
In1 0.0000 0.0000 0.5114

=====

Entry 6:
AlIn2Mo | PBEsol | optimized geometry

The formation energy from the elements is 0.1752 eV/atom.

Cell: 4.0237 4.0237 5.2717 Å, 112.44 112.44 90.00°
Each line ends with the local moment (μB).
Sites, in units of the cell vectors:
In1 0.7500 0.2500 0.5000  -0.01
In2 0.2500 0.7500 0.5000  -0.01
Al1 0.0000 0.0000 0.0000  0.00
Mo1 0.5000 0.5000 0.0000  0.76

=====

Entry 7:
AgPbSe2 | PBEsol | optimized geometry

As for the uncorrected formation energy: -0.26 eV/atom.

Cell: 4.0804 4.0804 6.8497 Å, 72.67 72.67 60.00°
Sites, in units of the cell vectors:
Ag1 0.0000 0.0000 0.0000
Se1 0.2599 0.2599 0.2203
Se2 0.7401 0.7401 0.7797
Pb1 0.5000 0.5000 0.5000

=====

Entry 8:
SrSc2TlAs | PBEsol | optimized geometry

The formation energy from the elements is -0.4170 eV/atom.

Cell: 5.0623 5.0623 5.6621 Å, 90.00 90.00 90.00°
Sites, in units of the cell vectors:
As1 0.0000 0.0000 0.0000
Sc1 0.5000 0.0000 0.0000
Sc2 0.0000 0.5000 0.0000
Tl1 0.5000 0.5000 0.5000
Sr1 0.0000 0.0000 0.5000

=====

Entry 9:
YCdTcB2 | PBEsol | optimized geometry

The formation energy from the elements is 2.0076 eV/atom.

Cell: 4.1553 4.1553 5.4459 Å, 90.00 90.00 90.00°
Each line ends with the local moment (μB).
Sites, in units of the cell vectors:
Y1 0.0000 0.0000 0.5000  -0.10
B1 0.0000 0.5000 0.0000  -0.01
B2 0.5000 0.0000 0.0000  -0.01
Cd1 0.0000 0.0000 0.0000  0.01
Tc1 0.5000 0.5000 0.5000  1.96

=====

Entry 10:
DyHoO3 | PBEsol | optimized geometry

As for the uncorrected formation energy: -3.56 eV/atom.

Cell: 6.3327 6.3327 12.5345 Å, 90.00 90.00 120.00°
Sites, in units of the cell vectors:
Ho1 0.3331 0.0000 0.0038
Ho2 0.0000 0.6669 0.5038
Ho3 0.3331 0.3331 0.5038
Ho4 0.6669 0.6669 0.0038
Ho5 0.6669 0.0000 0.5038
Ho6 0.0000 0.3331 0.0038
O1 0.0000 0.0000 0.5403
O2 0.3665 0.0000 0.1762
O3 0.6335 0.0000 0.6762
O4 0.6964 0.6964 0.8297
O5 0.6667 0.3333 0.4725
O6 0.3665 0.3665 0.6762
O7 0.3036 0.3036 0.3297
O8 0.3333 0.6667 0.4725
O9 0.3036 0.0000 0.8297
O10 0.0000 0.6964 0.3297
O11 0.3333 0.6667 0.9725
O12 0.6964 0.0000 0.3297
O13 0.0000 0.3036 0.8297
O14 0.6335 0.6335 0.1762
O15 0.0000 0.6335 0.6762
O16 0.0000 0.0000 0.0403
O17 0.6667 0.3333 0.9725
O18 0.0000 0.3665 0.1762
Dy1 0.6667 0.3333 0.2699
Dy2 0.6667 0.3333 0.7699
Dy3 0.3333 0.6667 0.2699
Dy4 0.0000 0.0000 0.2343
Dy5 0.3333 0.6667 0.7699
Dy6 0.0000 0.0000 0.7343

=====

Entry 11:
MgFePb2 | PBEsol | optimized geometry

The formation energy from the elements is 0.3879 eV/atom.

Cell: 3.4912 5.4583 5.7088 Å, 118.56 107.80 90.00°
Each line ends with the local moment (μB).
Sites, in units of the cell vectors:
Mg1 0.5000 0.0000 0.0000  -0.02
Fe1 0.0000 0.5000 0.0000  2.43
Pb1 0.2791 0.2791 0.5581  -0.03
Pb2 0.7209 0.7209 0.4419  -0.03

=====

Entry 12:
SrFe2SiSe | PBEsol | optimized geometry

As for the uncorrected formation energy: 2.13 eV/atom.

Cell: 4.6947 4.6947 5.4159 Å, 90.00 90.00 90.00°
Each line ends with the local moment (μB).
Sites, in units of the cell vectors:
Se1 0.5000 0.5000 0.5000  0.04
Fe1 0.0000 0.5000 0.0000  2.50
Fe2 0.5000 0.0000 0.0000  2.50
Sr1 0.0000 0.0000 0.0000  -0.18
Si1 0.0000 0.0000 0.5000  -0.04

=====

Entry 13:
Y2ReP2 | PBEsol | optimized geometry

The distance to the lowest polymorph of the same formula is 0.000 eV per atom. The formation energy from the elements is -0.9699 eV/atom.

Cell: 4.2709 6.3858 6.3858 Å, 90.00 90.00 90.00°
Sites, in units of the cell vectors:
P1 0.0000 0.1340 0.3660
P2 0.0000 0.3660 0.8660
P3 0.0000 0.6340 0.1340
P4 0.0000 0.8660 0.6340
Re1 0.0000 0.0000 0.0000
Re2 0.0000 0.5000 0.5000
Y1 0.5000 0.3227 0.1773
Y2 0.5000 0.1773 0.6773
Y3 0.5000 0.6773 0.8227
Y4 0.5000 0.8227 0.3227

=====

Entry 14:
Ba4TlAg | PBEsol | optimized geometry

The formation energy from the elements is 0.4035 eV/atom.

Cell: 7.0061 7.0061 7.0061 Å, 60.00 60.00 60.00°
Sites, in units of the cell vectors:
Ba1 0.8745 0.3752 0.3752
Ba2 0.3752 0.3752 0.3752
Ba3 0.3752 0.8745 0.3752
Ba4 0.3752 0.3752 0.8745
Ag1 0.0000 0.0000 0.0000
Tl1 0.7500 0.7500 0.7500

=====

Entry 15:
KFe2P | PBEsol | optimized geometry

The formation energy from the elements is 0.9733 eV/atom.

Cell: 4.4750 4.4750 4.4750 Å, 60.00 60.00 60.00°
Each line ends with the local moment (μB).
Sites, in units of the cell vectors:
Fe1 0.0000 0.0000 0.0000  2.70
Fe2 0.7500 0.7500 0.7500  2.94
P1 0.2500 0.2500 0.2500  0.08
K1 0.5000 0.5000 0.5000  0.01

=====

Entry 16:
BeTl2Pt | PBEsol | optimized geometry

The distance to the lowest polymorph of the same formula is 0.375 eV per atom. The formation energy from the elements is 0.4710 eV/atom.

Cell: 3.4325 4.6573 4.6573 Å, 90.00 90.00 90.00°
Sites, in units of the cell vectors:
Tl1 0.0000 0.0000 0.5000
Tl2 0.0000 0.5000 0.0000
Pt1 0.5000 0.0000 0.0000
Be1 0.5000 0.5000 0.5000

=====

Entry 17:
LiIn2Hg | PBEsol | optimized geometry

The formation energy from the elements is -0.1877 eV/atom.

Cell: 3.0681 3.2062 8.8116 Å, 90.00 90.00 90.00°
Sites, in units of the cell vectors:
Hg1 0.5000 0.5000 0.2860
Li1 0.0000 0.0000 0.4850
In1 0.0000 0.0000 0.0072
In2 0.5000 0.5000 0.7218

=====

Entry 18:
Ca2HfFe | PBEsol | optimized geometry

The formation energy from the elements is 0.9519 eV/atom.

Cell: 5.1561 5.1561 5.1561 Å, 60.00 60.00 60.00°
Each line ends with the local moment (μB).
Sites, in units of the cell vectors:
Fe1 0.0000 0.0000 0.0000  2.82
Ca1 0.2500 0.2500 0.2500  -0.05
Ca2 0.7500 0.7500 0.7500  -0.05
Hf1 0.5000 0.5000 0.5000  -0.42

=====

Entry 19:
MoP2WS | PBEsol | optimized geometry

As for the uncorrected formation energy: 1.25 eV/atom. The distance to the lowest polymorph of the same formula is 0.239 eV per atom.

Cell: 4.4680 4.6356 4.6356 Å, 90.00 90.00 90.00°
Each line ends with the local moment (μB).
Sites, in units of the cell vectors:
S1 0.5000 0.0000 0.0000  -0.14
Mo1 0.0000 0.0000 0.0000  0.57
W1 0.5000 0.5000 0.5000  2.69
P1 0.0000 0.5000 0.0000  -0.11
P2 0.0000 0.0000 0.5000  -0.11

=====

Entry 20:
Zr2B2Ir | PBEsol | optimized geometry

The formation energy from the elements is -0.9229 eV/atom.

Cell: 3.6215 5.9823 5.9823 Å, 90.00 90.00 90.00°
Sites, in units of the cell vectors:
B1 0.0000 0.1105 0.3895
B2 0.0000 0.6105 0.1105
B3 0.0000 0.8895 0.6105
B4 0.0000 0.3895 0.8895
Zr1 0.5000 0.8211 0.3211
Zr2 0.5000 0.3211 0.1789
Zr3 0.5000 0.6789 0.8211
Zr4 0.5000 0.1789 0.6789
Ir1 0.0000 0.5000 0.5000
Ir2 0.0000 0.0000 0.0000

=====

Number 1: total magnetic moment 0.0 Bohr magnetons per cell, electronic total energy -3.994 eV/atom. Number 2: total magnetic moment 0.0 Bohr magnetons per cell, electronic total energy -9.692 eV/atom. Number 3: total magnetic moment 0.0 Bohr magnetons per cell, electronic total energy -4.866 eV/atom. Number 4: total magnetic moment 0.0 Bohr magnetons per cell, electronic total energy -1.139 eV/atom. Number 5: total magnetic moment 0.0 Bohr magnetons per cell, electronic total energy -2.163 eV/atom. Number 6: total magnetic moment 0.8 Bohr magnetons per cell, electronic total energy -5.281 eV/atom. Number 7: total magnetic moment 0.0 Bohr magnetons per cell, electronic total energy -4.008 eV/atom. Number 8: total magnetic moment 0.0 Bohr magnetons per cell, electronic total energy -4.974 eV/atom. Number 9: total magnetic moment 2.0 Bohr magnetons per cell, electronic total energy -4.656 eV/atom. Number 10: total magnetic moment 0.0 Bohr magnetons per cell, electronic total energy -8.694 eV/atom. Number 11: total magnetic moment 2.2 Bohr magnetons per cell, electronic total energy -4.282 eV/atom. Number 12: total magnetic moment 4.7 Bohr magnetons per cell, electronic total energy -3.745 eV/atom. Number 13: total magnetic moment 0.0 Bohr magnetons per cell, electronic total energy -8.682 eV/atom. Number 14: total magnetic moment 0.0 Bohr magnetons per cell, electronic total energy -2.019 eV/atom. Number 15: total magnetic moment 5.8 Bohr magnetons per cell, electronic total energy -5.240 eV/atom. Number 16: total magnetic moment 0.0 Bohr magnetons per cell, electronic total energy -3.585 eV/atom. Number 17: total magnetic moment 0.0 Bohr magnetons per cell, electronic total energy -2.312 eV/atom. Number 18: total magnetic moment 2.1 Bohr magnetons per cell, electronic total energy -4.981 eV/atom. Number 19: total magnetic moment 3.6 Bohr magnetons per cell, electronic total energy -7.057 eV/atom. Number 20: total magnetic moment 0.0 Bohr magnetons per cell, electronic total energy -9.330 eV/atom.